MnAl2Sb: optimized geometry, GGA-PBEsol.

Cell lengths 2.8642, 4.6264, 6.3956 Å; angles 111.17, 90.00, 108.03 degrees
Each line ends with the local moment (μB).
Fractional coordinates of all 4 atoms:
Sb (0.8384, 0.6768, 0.2514)  -0.02
Mn (0.4579, 0.9157, 0.6219)  1.76
Al (0.0055, 0.0111, 0.9576)  -0.02
Al (0.1982, 0.3964, 0.6692)  -0.02

Computed properties:
**E_form (uncorrected)**: 11.4 kJ/mol of atoms
**Total DFT energy (no corrections)**: -5.51 eV per atom
**ρ**: 5.14 g cm⁻³
**Spin magnetization**: 1.730 μB per formula unit

Nb3TlCuCl9: optimized geometry, GGA-PBEsol.

Cell lengths 9.1576, 9.1750, 9.1473 Å; angles 119.74, 106.23, 95.12 degrees
Fractional coordinates of all 28 atoms:
Nb (0.1408, 0.2007, 0.0185)
Nb (0.8592, 0.7993, 0.9815)
Nb (0.8628, 0.1598, 0.1056)
Nb (0.1372, 0.8402, 0.8944)
Nb (0.1437, 0.0791, 0.2580)
Nb (0.8563, 0.9209, 0.7420)
Tl (0.6573, 0.2358, 0.5196)
Tl (0.3427, 0.7642, 0.4804)
Cu (0.6042, 0.5433, 0.1727)
Cu (0.3958, 0.4567, 0.8273)
Cl (0.3352, 0.3316, 0.3276)
Cl (0.6648, 0.6684, 0.6724)
Cl (0.3363, 0.1771, 0.5830)
Cl (0.6637, 0.8229, 0.4170)
Cl (0.3307, 0.9039, 0.1812)
Cl (0.6693, 0.0961, 0.8188)
Cl (0.0075, 0.2777, 0.4266)
Cl (0.9925, 0.7223, 0.5734)
Cl (0.0057, 0.4248, 0.1468)
Cl (0.9943, 0.5752, 0.8532)
Cl (0.3239, 0.4635, 0.0531)
Cl (0.6761, 0.5365, 0.9469)
Cl (0.6888, 0.3543, 0.2413)
Cl (0.3112, 0.6457, 0.7587)
Cl (0.3258, 0.0498, 0.8982)
Cl (0.6742, 0.9502, 0.1018)
Cl (0.9957, 0.1443, 0.7185)
Cl (0.0043, 0.8557, 0.2815)

Computed properties:
**E_form (uncorrected)**: -109.0 kJ/mol of atoms
**Total DFT energy (no corrections)**: -5.24 eV per atom
**ρ**: 4.67 g cm⁻³
**Spin magnetization**: 0.002 μB per formula unit

Li2TlIn: optimized geometry, GGA-PBEsol.

Cell lengths 4.7739, 4.7739, 4.7739 Å; angles 60.00, 60.00, 60.00 degrees
Fractional coordinates of all 4 atoms:
Tl (0.0000, 0.0000, 0.0000)
In (0.5000, 0.5000, 0.5000)
Li (0.2500, 0.2500, 0.2500)
Li (0.7500, 0.7500, 0.7500)

Computed properties:
**Total DFT energy (no corrections)**: -2.67 eV per atom
**Formation enthalpy at 0 K**: -286 meV/atom
**ρ**: 7.19 g cm⁻³
**Spin magnetization**: 0.000 μB per formula unit

Ta2BeCo: optimized geometry, GGA-PBEsol.

Cell lengths 4.2838, 4.2838, 4.2838 Å; angles 60.00, 60.00, 60.00 degrees
Each line ends with the local moment (μB).
Fractional coordinates of all 4 atoms:
Be (0.5000, 0.5000, 0.5000)  -0.01
Co (0.2500, 0.2500, 0.2500)  0.67
Ta (0.0000, 0.0000, 0.0000)  0.14
Ta (0.7500, 0.7500, 0.7500)  0.52

Computed properties:
**Total DFT energy (no corrections)**: -8.85 eV per atom
**Formation enthalpy at 0 K**: 357 meV/atom
**ρ**: 12.84 g cm⁻³
**Spin magnetization**: 1.462 μB per formula unit

Ta2Pd3Ru3: optimized geometry, GGA-PBEsol.

Cell lengths 3.8685, 3.9630, 7.5661 Å; angles 90.00, 90.00, 90.00 degrees
Fractional coordinates of all 8 atoms:
Ta (0.0000, 0.0000, 0.2444)
Ta (0.0000, 0.0000, 0.7556)
Pd (0.5000, 0.5000, 0.2498)
Pd (0.5000, 0.5000, 0.7502)
Pd (0.0000, 0.5000, 0.5000)
Ru (0.0000, 0.5000, 0.0000)
Ru (0.5000, 0.0000, 0.5000)
Ru (0.5000, 0.0000, 0.0000)

Computed properties:
**Total DFT energy (no corrections)**: -9.52 eV per atom
**Formation enthalpy at 0 K**: -331 meV/atom
**ρ**: 14.09 g cm⁻³
**Spin magnetization**: 0.000 μB per formula unit

Zr2InNi: optimized geometry, GGA-PBEsol.

Cell lengths 3.3720, 4.1422, 5.7565 Å; angles 90.00, 107.08, 90.00 degrees
Fractional coordinates of all 4 atoms:
In (0.3085, 0.0000, 0.4926)
Ni (0.4607, 0.5000, 0.7953)
Zr (0.0322, 0.0000, 0.9393)
Zr (0.6986, 0.5000, 0.2728)

Computed properties:
**Total DFT energy (no corrections)**: -7.06 eV per atom
**Formation enthalpy at 0 K**: -233 meV/atom
**ρ**: 7.69 g cm⁻³
**Spin magnetization**: 0.012 μB per formula unit

Sc2SbTe: optimized geometry, GGA-PBEsol.

Cell lengths 4.1037, 4.1037, 5.7917 Å; angles 90.00, 90.00, 90.00 degrees
Fractional coordinates of all 4 atoms:
Sc (0.0000, 0.0000, 0.8742)
Sc (0.5000, 0.5000, 0.3758)
Sb (0.5000, 0.5000, 0.8756)
Te (0.0000, 0.0000, 0.3743)

Computed properties:
**E_form (uncorrected)**: -106.2 kJ/mol of atoms
**Total DFT energy (no corrections)**: -6.42 eV per atom
**ρ**: 5.78 g cm⁻³
**Offset from the most stable computed form**: 3 meV per atom
**Spin magnetization**: 0.000 μB per formula unit

CsLaW2C: optimized geometry, GGA-PBEsol.

Cell lengths 4.2169, 4.2169, 5.6166 Å; angles 90.00, 90.00, 90.00 degrees
Fractional coordinates of all 5 atoms:
Cs (0.5000, 0.5000, 0.5000)
C (0.0000, 0.0000, 0.0000)
W (0.0000, 0.5000, 0.0000)
W (0.5000, 0.0000, 0.0000)
La (0.0000, 0.0000, 0.5000)

Computed properties:
**Total DFT energy (no corrections)**: -7.74 eV per atom
**Formation enthalpy at 0 K**: 966 meV/atom
**ρ**: 10.83 g cm⁻³
**Spin magnetization**: 0.000 μB per formula unit

Li4V3Sn3Te2O16: optimized geometry, GGA-PBEsol.

Cell lengths 6.1159, 6.1988, 9.9504 Å; angles 90.11, 90.00, 119.56 degrees
Each line ends with the local moment (μB).
Fractional coordinates of all 28 atoms:
Li (0.6729, 0.3458, 0.0988)  0.00
Li (0.9895, 0.9790, 0.0134)  0.00
Li (0.9935, 0.9871, 0.5005)  0.00
Li (0.3353, 0.6707, 0.6004)  0.00
V (0.8321, 0.6641, 0.7864)  1.98
V (0.6525, 0.8355, 0.2864)  2.04
V (0.1830, 0.8355, 0.2864)  2.04
Sn (0.1671, 0.3342, 0.2842)  0.09
Sn (0.8325, 0.1682, 0.7854)  0.05
Sn (0.3357, 0.1682, 0.7854)  0.05
Te (0.6779, 0.3558, 0.5000)  0.06
Te (0.3391, 0.6783, 0.0147)  0.05
O (0.5134, 0.0267, 0.6627)  0.03
O (0.6677, 0.3354, 0.8963)  0.00
O (0.9978, 0.9956, 0.6823)  0.00
O (0.9953, 0.9907, 0.1950)  -0.01
O (0.1488, 0.2976, 0.9082)  0.02
O (0.8441, 0.6881, 0.3955)  -0.01
O (0.3312, 0.6624, 0.3942)  -0.02
O (0.4828, 0.9656, 0.1575)  -0.03
O (0.8360, 0.1570, 0.4003)  0.01
O (0.3210, 0.1570, 0.4003)  0.01
O (0.9712, 0.4930, 0.6697)  -0.02
O (0.5217, 0.4930, 0.6697)  -0.02
O (0.4888, 0.5291, 0.1599)  0.00
O (0.0403, 0.5291, 0.1599)  0.00
O (0.6961, 0.8434, 0.8993)  -0.01
O (0.1473, 0.8434, 0.8993)  -0.01

Computed properties:
**E_form (uncorrected)**: -166.5 kJ/mol of atoms
**Total DFT energy (no corrections)**: -6.75 eV per atom
**ρ**: 5.30 g cm⁻³
**Spin magnetization**: 7.002 μB per formula unit

Sr4Ru: optimized geometry, GGA-PBEsol.

Cell lengths 6.3399, 6.3399, 6.3399 Å; angles 109.47, 109.47, 109.47 degrees
Fractional coordinates of all 5 atoms:
Ru (0.0000, 0.0000, 0.0000)
Sr (0.0000, 0.0000, 0.5000)
Sr (0.0000, 0.5000, 0.0000)
Sr (0.5000, 0.0000, 0.0000)
Sr (0.5000, 0.5000, 0.5000)

Computed properties:
**Total DFT energy (no corrections)**: -3.05 eV per atom
**Formation enthalpy at 0 K**: 456 meV/atom
**ρ**: 3.82 g cm⁻³
**Spin magnetization**: 0.004 μB per formula unit

SrMg2Co2: optimized geometry, GGA-PBEsol.

Cell lengths 4.3132, 4.3132, 6.1656 Å; angles 110.47, 110.47, 90.00 degrees
Each line ends with the local moment (μB).
Fractional coordinates of all 5 atoms:
Sr (0.0000, 0.0000, 0.0000)  -0.06
Mg (0.2500, 0.7500, 0.5000)  -0.02
Mg (0.7500, 0.2500, 0.5000)  -0.02
Co (0.4003, 0.4003, 0.8005)  1.05
Co (0.5997, 0.5997, 0.1995)  1.05

Computed properties:
**Total DFT energy (no corrections)**: -3.86 eV per atom
**Formation enthalpy at 0 K**: 290 meV/atom
**ρ**: 4.23 g cm⁻³
**Spin magnetization**: 1.698 μB per formula unit

CdAs2P: optimized geometry, GGA-PBEsol.

Cell lengths 4.7015, 4.7015, 4.7015 Å; angles 60.00, 60.00, 60.00 degrees
Fractional coordinates of all 4 atoms:
As (0.2500, 0.2500, 0.2500)
As (0.7500, 0.7500, 0.7500)
Cd (0.0000, 0.0000, 0.0000)
P (0.5000, 0.5000, 0.5000)

Computed properties:
**Total DFT energy (no corrections)**: -3.85 eV per atom
**Formation enthalpy at 0 K**: 450 meV/atom
**ρ**: 6.63 g cm⁻³
**Offset from the most stable computed form**: 323 meV per atom
**Spin magnetization**: 0.000 μB per formula unit

KHgBr2: optimized geometry, GGA-PBEsol.

Cell lengths 4.0226, 4.0131, 7.8951 Å; angles 90.61, 90.00, 90.00 degrees
Fractional coordinates of all 4 atoms:
Br (0.0000, 0.9962, 0.7780)
Br (0.0000, 0.0038, 0.2220)
Hg (0.5000, 0.0000, 0.5000)
K (0.5000, 0.5000, 0.0000)

Computed properties:
**E_form (uncorrected)**: -78.8 kJ/mol of atoms
**Total DFT energy (no corrections)**: -2.18 eV per atom
**ρ**: 5.21 g cm⁻³
**Spin magnetization**: 0.000 μB per formula unit

AlZn2: optimized geometry, GGA-PBEsol.

Cell lengths 2.7224, 7.6696, 7.6696 Å; angles 120.00, 90.00, 90.00 degrees
Fractional coordinates of all 9 atoms:
Zn (0.0000, 0.7029, 0.7029)
Zn (0.0000, 0.0000, 0.2971)
Zn (0.0000, 0.2971, 0.0000)
Zn (0.5000, 0.3716, 0.3716)
Zn (0.5000, 0.0000, 0.6284)
Zn (0.5000, 0.6284, 0.0000)
Al (0.0000, 0.6667, 0.3333)
Al (0.0000, 0.3333, 0.6667)
Al (0.5000, 0.0000, 0.0000)

Computed properties:
**Total DFT energy (no corrections)**: -2.31 eV per atom
**Formation enthalpy at 0 K**: 108 meV/atom
**ρ**: 5.67 g cm⁻³
**Spin magnetization**: 0.000 μB per formula unit

LaZrCd: optimized geometry, GGA-PBEsol.

Cell lengths 3.2416, 5.1969, 5.1969 Å; angles 120.00, 90.00, 90.00 degrees
Fractional coordinates of all 3 atoms:
Cd (0.1421, 0.0000, 0.0000)
La (0.6690, 0.3333, 0.6667)
Zr (0.1889, 0.6667, 0.3333)

Computed properties:
**Total DFT energy (no corrections)**: -5.12 eV per atom
**Formation enthalpy at 0 K**: 86 meV/atom
**ρ**: 7.50 g cm⁻³
**Offset from the most stable computed form**: 141 meV per atom
**Spin magnetization**: 0.000 μB per formula unit

Sr2ZnGe2O7: optimized geometry, GGA-PBEsol.

Cell lengths 5.3202, 8.1355, 8.1355 Å; angles 90.00, 90.00, 90.00 degrees
Fractional coordinates of all 24 atoms:
Sr (0.5070, 0.6650, 0.1650)
Sr (0.4930, 0.8350, 0.6650)
Sr (0.4930, 0.1650, 0.3350)
Sr (0.5070, 0.3350, 0.8350)
Zn (0.0000, 0.0000, 0.0000)
Zn (0.0000, 0.5000, 0.5000)
Ge (0.9534, 0.8566, 0.3566)
Ge (0.9534, 0.1434, 0.6434)
Ge (0.0466, 0.6434, 0.8566)
Ge (0.0466, 0.3566, 0.1434)
O (0.7903, 0.6778, 0.4177)
O (0.7903, 0.3222, 0.5823)
O (0.2097, 0.4177, 0.3222)
O (0.2097, 0.5823, 0.6778)
O (0.7903, 0.9177, 0.1778)
O (0.2097, 0.8222, 0.9177)
O (0.2097, 0.1778, 0.0823)
O (0.7903, 0.0823, 0.8222)
O (0.2781, 0.8618, 0.3618)
O (0.7219, 0.6382, 0.8618)
O (0.1833, 0.5000, 0.0000)
O (0.8167, 0.0000, 0.5000)
O (0.2781, 0.1382, 0.6382)
O (0.7219, 0.3618, 0.1382)

Computed properties:
**E_form (uncorrected)**: -213.4 kJ/mol of atoms
**Total DFT energy (no corrections)**: -6.54 eV per atom
**ρ**: 4.70 g cm⁻³
**Spin magnetization**: 0.000 μB per formula unit

CaNi2H: optimized geometry, GGA-PBEsol.

Cell lengths 5.1992, 5.1992, 5.1992 Å; angles 60.00, 60.00, 60.00 degrees
Fractional coordinates of all 8 atoms:
Ni (0.6250, 0.1250, 0.6250)
Ni (0.1250, 0.6250, 0.6250)
Ni (0.6250, 0.6250, 0.1250)
Ni (0.6250, 0.6250, 0.6250)
Ca (0.0000, 0.0000, 0.0000)
Ca (0.2500, 0.2500, 0.2500)
H (0.5000, 0.5000, 0.5000)
H (0.7500, 0.7500, 0.7500)

Computed properties:
**Total DFT energy (no corrections)**: -4.66 eV per atom
**ρ**: 5.30 g cm⁻³
**Spin magnetization**: 0.000 μB per formula unit

SrCaSb2: optimized geometry, GGA-PBEsol.

Cell lengths 3.5148, 5.5119, 6.5330 Å; angles 90.00, 90.00, 90.00 degrees
Fractional coordinates of all 4 atoms:
Sb (0.0000, 0.0000, 0.8750)
Sb (0.5000, 0.5000, 0.3750)
Ca (0.5000, 0.5000, 0.8749)
Sr (0.0000, 0.0000, 0.3750)

Computed properties:
**E_form (uncorrected)**: -74.8 kJ/mol of atoms
**Total DFT energy (no corrections)**: -4.05 eV per atom
**ρ**: 4.87 g cm⁻³
**Offset from the most stable computed form**: 97 meV per atom
**Spin magnetization**: 0.000 μB per formula unit

Ba4InW: optimized geometry, GGA-PBEsol.

Cell lengths 6.8437, 6.8437, 6.8437 Å; angles 60.00, 60.00, 60.00 degrees
Each line ends with the local moment (μB).
Fractional coordinates of all 6 atoms:
Ba (0.3749, 0.3749, 0.3749)  -0.09
Ba (0.3749, 0.3749, 0.8753)  -0.09
Ba (0.8753, 0.3749, 0.3749)  -0.09
Ba (0.3749, 0.8753, 0.3749)  -0.09
In (0.7500, 0.7500, 0.7500)  -0.07
W (0.0000, 0.0000, 0.0000)  2.75

Computed properties:
**Total DFT energy (no corrections)**: -3.05 eV per atom
**Formation enthalpy at 0 K**: 1186 meV/atom
**ρ**: 6.21 g cm⁻³
**Spin magnetization**: 3.155 μB per formula unit

Na2AgPb2: optimized geometry, GGA-PBEsol.

Cell lengths 4.9689, 7.3917, 7.3917 Å; angles 90.00, 90.00, 90.00 degrees
Fractional coordinates of all 10 atoms:
Pb (0.0000, 0.3547, 0.8547)
Pb (0.0000, 0.8547, 0.6453)
Pb (0.0000, 0.6453, 0.1453)
Pb (0.0000, 0.1453, 0.3547)
Na (0.5000, 0.1648, 0.6648)
Na (0.5000, 0.6648, 0.8352)
Na (0.5000, 0.8352, 0.3352)
Na (0.5000, 0.3352, 0.1648)
Ag (0.0000, 0.0000, 0.0000)
Ag (0.0000, 0.5000, 0.5000)

Computed properties:
**Total DFT energy (no corrections)**: -2.85 eV per atom
**Formation enthalpy at 0 K**: -24 meV/atom
**ρ**: 6.95 g cm⁻³
**Spin magnetization**: 0.000 μB per formula unit

RePtO2F: optimized geometry, GGA-PBEsol.

Cell lengths 3.7747, 3.7747, 4.3246 Å; angles 90.00, 90.00, 90.00 degrees
Each line ends with the local moment (μB).
Fractional coordinates of all 5 atoms:
Re (0.0000, 0.0000, 0.0000)  0.00
O (0.0000, 0.5000, 0.0000)  0.01
O (0.5000, 0.0000, 0.0000)  0.01
Pt (0.5000, 0.5000, 0.5000)  0.26
F (0.0000, 0.0000, 0.5000)  0.01

Computed properties:
**E_form (uncorrected)**: -27.4 kJ/mol of atoms
**Total DFT energy (no corrections)**: -6.83 eV per atom
**ρ**: 11.65 g cm⁻³
**Spin magnetization**: 0.277 μB per formula unit

TcBi3O: optimized geometry, GGA-PBEsol.

Cell lengths 5.1576, 5.1576, 5.1576 Å; angles 90.00, 90.00, 90.00 degrees
Fractional coordinates of all 5 atoms:
Bi (0.0000, 0.5000, 0.0000)
Bi (0.0000, 0.0000, 0.5000)
Bi (0.5000, 0.0000, 0.0000)
O (0.5000, 0.5000, 0.5000)
Tc (0.0000, 0.0000, 0.0000)

Computed properties:
**E_form (uncorrected)**: 80.4 kJ/mol of atoms
**Total DFT energy (no corrections)**: -5.04 eV per atom
**ρ**: 8.97 g cm⁻³
**Spin magnetization**: 0.002 μB per formula unit

Mg2MnFe: optimized geometry, GGA-PBEsol.

Cell lengths 2.8123, 2.8123, 9.2775 Å; angles 81.28, 81.28, 60.00 degrees
Each line ends with the local moment (μB).
Fractional coordinates of all 4 atoms:
Fe (0.0000, 0.0000, 0.0000)  2.46
Mg (0.2528, 0.2528, 0.2415)  -0.03
Mg (0.7472, 0.7472, 0.7585)  -0.03
Mn (0.5000, 0.5000, 0.5000)  3.24

Computed properties:
**Total DFT energy (no corrections)**: -5.06 eV per atom
**Formation enthalpy at 0 K**: 478 meV/atom
**ρ**: 4.23 g cm⁻³
**Offset from the most stable computed form**: 84 meV per atom
**Spin magnetization**: 5.597 μB per formula unit

Mg2InNiRh: optimized geometry, GGA-PBEsol.

Cell lengths 4.5102, 4.9860, 4.9860 Å; angles 90.00, 90.00, 90.00 degrees
Fractional coordinates of all 5 atoms:
Ni (0.5000, 0.0000, 0.0000)
Mg (0.0000, 0.0000, 0.5000)
Mg (0.0000, 0.5000, 0.0000)
Rh (0.5000, 0.5000, 0.5000)
In (0.0000, 0.0000, 0.0000)

Computed properties:
**Total DFT energy (no corrections)**: -3.04 eV per atom
**Formation enthalpy at 0 K**: 1104 meV/atom
**ρ**: 4.81 g cm⁻³
**Spin magnetization**: 0.001 μB per formula unit

IrRu2: optimized geometry, GGA-PBEsol.

Cell lengths 2.6750, 3.7842, 4.6371 Å; angles 114.08, 106.76, 90.00 degrees
Fractional coordinates of all 3 atoms:
Ru (0.3320, 0.3320, 0.6640)
Ru (0.6680, 0.6680, 0.3360)
Ir (0.0000, 0.0000, 0.0000)

Computed properties:
**Total DFT energy (no corrections)**: -10.05 eV per atom
**Formation enthalpy at 0 K**: 9 meV/atom
**ρ**: 16.11 g cm⁻³
**Offset from the most stable computed form**: 65 meV per atom
**Spin magnetization**: 0.000 μB per formula unit